The following is a DFT calculation (PBE-GGA) of a relaxed ErPaAu6 crystal.

Geometry as CIF:
```
data_ErPaAu6
_chemical_formula_sum 'Er2 Pa2 Au12'
_symmetry_space_group_name_H-M 'C 1 2/m 1'
_symmetry_Int_Tables_number 12
_cell_length_a 8.4500
_cell_length_b 4.8813
_cell_length_c 8.4301
_cell_angle_alpha 90.00
_cell_angle_beta 109.60
_cell_angle_gamma 90.00
loop_
_symmetry_equiv_pos_as_xyz
'x,y,z'
'-x,-y,-z'
'-x,y,-z'
'x,-y,z'
'x+1/2,y+1/2,z'
'-x+1/2,-y+1/2,-z'
'-x+1/2,y+1/2,-z'
'x+1/2,-y+1/2,z'
loop_
_atom_site_label
_atom_site_type_symbol
_atom_site_fract_x
_atom_site_fract_y
_atom_site_fract_z
Er1 Er 0.0000 0.0000 0.0000
Pa1 Pa 0.0000 0.5000 0.5000
Au1 Au 0.1227 0.0000 0.3697
Au2 Au 0.1267 0.5000 0.8800
Au3 Au 0.2492 0.0000 0.7464
```

DFT formation energy = -4.26 eV per formula unit

---

The following is a DFT calculation (PBE-GGA) of a relaxed ErPaPdAu crystal.

Geometry as CIF:
```
data_ErPaPdAu
_chemical_formula_sum 'Er4 Pa4 Pd4 Au4'
_symmetry_space_group_name_H-M 'F -4 3 m'
_symmetry_Int_Tables_number 216
_symmetry_space_group_name_Hall 'F -4 2 3'
_cell_length_a 7.1091
_cell_length_b 7.1091
_cell_length_c 7.1091
_cell_angle_alpha 90.00
_cell_angle_beta 90.00
_cell_angle_gamma 90.00
loop_
_atom_site_label
_atom_site_type_symbol
_atom_site_fract_x
_atom_site_fract_y
_atom_site_fract_z
Er1 Er 0.0000 0.0000 0.0000
Pa1 Pa 0.0000 0.0000 0.5000
Pd1 Pd 0.2500 0.2500 0.7500
Au1 Au 0.2500 0.2500 0.2500
```

DFT formation energy = -2.01 eV per formula unit

---

The following is a DFT calculation (PBE-GGA) of a relaxed ErPaPtAu crystal.

Geometry as CIF:
```
data_ErPaPtAu
_chemical_formula_sum 'Er4 Pa4 Pt4 Au4'
_symmetry_space_group_name_H-M 'F -4 3 m'
_symmetry_Int_Tables_number 216
_symmetry_space_group_name_Hall 'F -4 2 3'
_cell_length_a 7.0914
_cell_length_b 7.0914
_cell_length_c 7.0914
_cell_angle_alpha 90.00
_cell_angle_beta 90.00
_cell_angle_gamma 90.00
loop_
_atom_site_label
_atom_site_type_symbol
_atom_site_fract_x
_atom_site_fract_y
_atom_site_fract_z
Er1 Er 0.0000 0.0000 0.0000
Pa1 Pa 0.0000 0.0000 0.5000
Pt1 Pt 0.2500 0.2500 0.2500
Au1 Au 0.2500 0.2500 0.7500
```

DFT formation energy = -2.84 eV per formula unit

---

The following is a DFT calculation (PBE-GGA) of a relaxed ErPaSnAu crystal.

Geometry as CIF:
```
data_ErPaSnAu
_chemical_formula_sum 'Er4 Pa4 Sn4 Au4'
_symmetry_space_group_name_H-M 'F -4 3 m'
_symmetry_Int_Tables_number 216
_symmetry_space_group_name_Hall 'F -4 2 3'
_cell_length_a 7.3833
_cell_length_b 7.3833
_cell_length_c 7.3833
_cell_angle_alpha 90.00
_cell_angle_beta 90.00
_cell_angle_gamma 90.00
loop_
_atom_site_label
_atom_site_type_symbol
_atom_site_fract_x
_atom_site_fract_y
_atom_site_fract_z
Er1 Er 0.0000 0.0000 0.0000
Pa1 Pa 0.0000 0.0000 0.5000
Sn1 Sn 0.2500 0.2500 0.2500
Au1 Au 0.2500 0.2500 0.7500
```

DFT formation energy = -1.33 eV per formula unit

---

The following is a DFT calculation (PBE-GGA) of a relaxed ErPaTcAu crystal.

Geometry as CIF:
```
data_ErPaTcAu
_chemical_formula_sum 'Er4 Pa4 Tc4 Au4'
_symmetry_space_group_name_H-M 'F -4 3 m'
_symmetry_Int_Tables_number 216
_symmetry_space_group_name_Hall 'F -4 2 3'
_cell_length_a 7.0133
_cell_length_b 7.0133
_cell_length_c 7.0133
_cell_angle_alpha 90.00
_cell_angle_beta 90.00
_cell_angle_gamma 90.00
loop_
_atom_site_label
_atom_site_type_symbol
_atom_site_fract_x
_atom_site_fract_y
_atom_site_fract_z
Er1 Er 0.0000 0.0000 0.0000
Pa1 Pa 0.0000 0.0000 0.5000
Tc1 Tc 0.2500 0.2500 0.2500
Au1 Au 0.2500 0.2500 0.7500
```

DFT formation energy = -0.99 eV per formula unit

---

The following is a DFT calculation (PBE-GGA) of a relaxed Er3PbAu crystal.

Geometry as CIF:
```
data_Er3PbAu
_chemical_formula_sum 'Er12 Pb4 Au4'
_symmetry_space_group_name_H-M 'C 1 2/m 1'
_symmetry_Int_Tables_number 12
_cell_length_a 23.0942
_cell_length_b 4.6461
_cell_length_c 4.9443
_cell_angle_alpha 90.00
_cell_angle_beta 90.06
_cell_angle_gamma 90.00
loop_
_symmetry_equiv_pos_as_xyz
'x,y,z'
'-x,-y,-z'
'-x,y,-z'
'x,-y,z'
'x+1/2,y+1/2,z'
'-x+1/2,-y+1/2,-z'
'-x+1/2,y+1/2,-z'
'x+1/2,-y+1/2,z'
loop_
_atom_site_label
_atom_site_type_symbol
_atom_site_fract_x
_atom_site_fract_y
_atom_site_fract_z
Er1 Er 0.0517 0.0000 0.2506
Er2 Er 0.1642 0.0000 0.7509
Er3 Er 0.1720 0.5000 0.2513
Pb1 Pb 0.0646 0.5000 0.7507
Au1 Au 0.2444 0.5000 0.7518
```

DFT formation energy = -2.61 eV per formula unit

---

The following is a DFT calculation (PBE-GGA) of a relaxed Er3PbAu2 crystal.

Geometry as CIF:
```
data_Er3PbAu2
_chemical_formula_sum 'Er3 Pb1 Au2'
_symmetry_space_group_name_H-M 'P 4/m m m'
_symmetry_Int_Tables_number 123
_symmetry_space_group_name_Hall '-P 4 2'
_cell_length_a 3.5044
_cell_length_b 3.5044
_cell_length_c 11.9379
_cell_angle_alpha 90.00
_cell_angle_beta 90.00
_cell_angle_gamma 90.00
loop_
_atom_site_label
_atom_site_type_symbol
_atom_site_fract_x
_atom_site_fract_y
_atom_site_fract_z
Er1 Er 0.0000 0.0000 0.0000
Er2 Er 0.0000 0.0000 0.3057
Pb1 Pb 0.5000 0.5000 0.5000
Au1 Au 0.5000 0.5000 0.1530
```

DFT formation energy = -4.28 eV per formula unit

---

The following is a DFT calculation (PBE-GGA) of a relaxed Er4PbAu crystal.

Geometry as CIF:
```
data_Er4PbAu
_chemical_formula_sum 'Er16 Pb4 Au4'
_symmetry_space_group_name_H-M 'C 1 2/c 1'
_symmetry_Int_Tables_number 15
_cell_length_a 9.0442
_cell_length_b 13.5360
_cell_length_c 6.2104
_cell_angle_alpha 90.00
_cell_angle_beta 115.86
_cell_angle_gamma 90.00
loop_
_symmetry_equiv_pos_as_xyz
'x,y,z'
'-x,-y,-z'
'-x,y,-z+1/2'
'x,-y,z+1/2'
'x+1/2,y+1/2,z'
'-x+1/2,-y+1/2,-z'
'-x+1/2,y+1/2,-z+1/2'
'x+1/2,-y+1/2,z+1/2'
loop_
_atom_site_label
_atom_site_type_symbol
_atom_site_fract_x
_atom_site_fract_y
_atom_site_fract_z
Er1 Er 0.1150 0.1782 0.0762
Er2 Er 0.2117 0.4244 0.3240
Pb1 Pb 0.0000 0.3738 0.7500
Au1 Au 0.0000 0.0015 0.2500
```

DFT formation energy = -2.47 eV per formula unit
ΔE to the lowest computed polymorph = 1.28 kcal/mol of atoms

---

The following is a DFT calculation (PBE-GGA) of a relaxed Er5PbAu2 crystal.

Geometry as CIF:
```
data_Er5PbAu2
_chemical_formula_sum 'Er20 Pb4 Au8'
_symmetry_space_group_name_H-M 'I 4/m c m'
_symmetry_Int_Tables_number 140
_symmetry_space_group_name_Hall '-I 4 2c'
_cell_length_a 8.0217
_cell_length_b 8.0217
_cell_length_c 13.1281
_cell_angle_alpha 90.00
_cell_angle_beta 90.00
_cell_angle_gamma 90.00
loop_
_atom_site_label
_atom_site_type_symbol
_atom_site_fract_x
_atom_site_fract_y
_atom_site_fract_z
Er1 Er 0.0000 0.0000 0.0000
Er2 Er 0.1562 0.3438 0.1418
Pb1 Pb 0.0000 0.0000 0.2500
Au1 Au 0.1368 0.3632 0.5000
```

DFT formation energy = -4.97 eV per formula unit

---

The following is a DFT calculation (PBE-GGA) of a relaxed Er4PbAu crystal.

Geometry as CIF:
```
data_Er4PbAu
_chemical_formula_sum 'Er8 Pb2 Au2'
_symmetry_space_group_name_H-M 'P 1 21/m 1'
_symmetry_Int_Tables_number 11
_cell_length_a 5.5234
_cell_length_b 6.8414
_cell_length_c 8.7600
_cell_angle_alpha 90.00
_cell_angle_beta 99.05
_cell_angle_gamma 90.00
loop_
_symmetry_equiv_pos_as_xyz
'x,y,z'
'-x,-y,-z'
'-x,y+1/2,-z'
'x,-y+1/2,z'
loop_
_atom_site_label
_atom_site_type_symbol
_atom_site_fract_x
_atom_site_fract_y
_atom_site_fract_z
Er1 Er 0.1639 0.2500 0.0557
Er2 Er 0.2185 0.7500 0.3642
Er3 Er 0.3071 0.5106 0.7462
Pb1 Pb 0.2303 0.2500 0.4211
Au1 Au 0.3469 0.7500 0.0496
```

DFT formation energy = -2.81 eV per formula unit
ΔE to the lowest computed polymorph = 0.00 kcal/mol of atoms

---

The following is a DFT calculation (PBE-GGA) of a relaxed Er12PbAu6 crystal.

Geometry as CIF:
```
data_Er12PbAu6
_chemical_formula_sum 'Er24 Pb2 Au12'
_symmetry_space_group_name_H-M 'I m -3'
_symmetry_Int_Tables_number 204
_symmetry_space_group_name_Hall '-I 2 2 3'
_cell_length_a 10.0555
_cell_length_b 10.0555
_cell_length_c 10.0555
_cell_angle_alpha 90.00
_cell_angle_beta 90.00
_cell_angle_gamma 90.00
loop_
_atom_site_label
_atom_site_type_symbol
_atom_site_fract_x
_atom_site_fract_y
_atom_site_fract_z
Er1 Er 0.0000 0.2933 0.1842
Pb1 Pb 0.0000 0.0000 0.0000
Au1 Au 0.0000 0.1383 0.5000
```

DFT formation energy = -10.73 eV per formula unit

---

The following is a DFT calculation (PBE-GGA) of a relaxed ErPbAu4 crystal.

Geometry as CIF:
```
data_ErPbAu4
_chemical_formula_sum 'Er4 Pb4 Au16'
_symmetry_space_group_name_H-M 'F -4 3 m'
_symmetry_Int_Tables_number 216
_symmetry_space_group_name_Hall 'F -4 2 3'
_cell_length_a 8.0076
_cell_length_b 8.0076
_cell_length_c 8.0076
_cell_angle_alpha 90.00
_cell_angle_beta 90.00
_cell_angle_gamma 90.00
loop_
_atom_site_label
_atom_site_type_symbol
_atom_site_fract_x
_atom_site_fract_y
_atom_site_fract_z
Er1 Er 0.0000 0.0000 0.0000
Pb1 Pb 0.2500 0.2500 0.2500
Au1 Au 0.1253 0.1253 0.6253
```

DFT formation energy = -2.15 eV per formula unit

---

The following is a DFT calculation (PBE-GGA) of a relaxed ErPdPbAu crystal.

Geometry as CIF:
```
data_ErPdPbAu
_chemical_formula_sum 'Er4 Pd4 Pb4 Au4'
_symmetry_space_group_name_H-M 'F -4 3 m'
_symmetry_Int_Tables_number 216
_symmetry_space_group_name_Hall 'F -4 2 3'
_cell_length_a 7.0091
_cell_length_b 7.0091
_cell_length_c 7.0091
_cell_angle_alpha 90.00
_cell_angle_beta 90.00
_cell_angle_gamma 90.00
loop_
_atom_site_label
_atom_site_type_symbol
_atom_site_fract_x
_atom_site_fract_y
_atom_site_fract_z
Er1 Er 0.0000 0.0000 0.0000
Pd1 Pd 0.2500 0.2500 0.7500
Pb1 Pb 0.0000 0.0000 0.5000
Au1 Au 0.2500 0.2500 0.2500
```

DFT formation energy = -2.48 eV per formula unit

---

The following is a DFT calculation (PBE-GGA) of a relaxed ErPuPbAu crystal.

Geometry as CIF:
```
data_ErPuPbAu
_chemical_formula_sum 'Er4 Pu4 Pb4 Au4'
_symmetry_space_group_name_H-M 'F -4 3 m'
_symmetry_Int_Tables_number 216
_symmetry_space_group_name_Hall 'F -4 2 3'
_cell_length_a 7.4660
_cell_length_b 7.4660
_cell_length_c 7.4660
_cell_angle_alpha 90.00
_cell_angle_beta 90.00
_cell_angle_gamma 90.00
loop_
_atom_site_label
_atom_site_type_symbol
_atom_site_fract_x
_atom_site_fract_y
_atom_site_fract_z
Er1 Er 0.0000 0.0000 0.0000
Pu1 Pu 0.0000 0.0000 0.5000
Pb1 Pb 0.2500 0.2500 0.2500
Au1 Au 0.2500 0.2500 0.7500
```

DFT formation energy = -1.62 eV per formula unit

---

The following is a DFT calculation (PBE-GGA) of a relaxed ErRhPbAu crystal.

Geometry as CIF:
```
data_ErRhPbAu
_chemical_formula_sum 'Er4 Rh4 Pb4 Au4'
_symmetry_space_group_name_H-M 'F -4 3 m'
_symmetry_Int_Tables_number 216
_symmetry_space_group_name_Hall 'F -4 2 3'
_cell_length_a 6.9293
_cell_length_b 6.9293
_cell_length_c 6.9293
_cell_angle_alpha 90.00
_cell_angle_beta 90.00
_cell_angle_gamma 90.00
loop_
_atom_site_label
_atom_site_type_symbol
_atom_site_fract_x
_atom_site_fract_y
_atom_site_fract_z
Er1 Er 0.0000 0.0000 0.0000
Rh1 Rh 0.2500 0.2500 0.7500
Pb1 Pb 0.0000 0.0000 0.5000
Au1 Au 0.2500 0.2500 0.2500
```

DFT formation energy = -1.89 eV per formula unit

---

The following is a DFT calculation (PBE-GGA) of a relaxed ErSi2Pb2Au7 crystal.

Geometry as CIF:
```
data_ErSi2Pb2Au7
_chemical_formula_sum 'Er2 Si4 Pb4 Au14'
_symmetry_space_group_name_H-M 'C 1 2/m 1'
_symmetry_Int_Tables_number 12
_cell_length_a 6.1380
_cell_length_b 6.1424
_cell_length_c 14.9613
_cell_angle_alpha 90.00
_cell_angle_beta 101.45
_cell_angle_gamma 90.00
loop_
_symmetry_equiv_pos_as_xyz
'x,y,z'
'-x,-y,-z'
'-x,y,-z'
'x,-y,z'
'x+1/2,y+1/2,z'
'-x+1/2,-y+1/2,-z'
'-x+1/2,y+1/2,-z'
'x+1/2,-y+1/2,z'
loop_
_atom_site_label
_atom_site_type_symbol
_atom_site_fract_x
_atom_site_fract_y
_atom_site_fract_z
Er1 Er 0.0000 0.0000 0.0000
Si1 Si 0.1105 0.5000 0.2287
Pb1 Pb 0.2010 0.0000 0.4081
Au1 Au 0.0000 0.5000 0.0000
Au2 Au 0.1799 0.2496 0.8561
Au3 Au 0.1923 0.5000 0.3937
```

formation energy from raw total energies = -2.48 eV/f.u.

---

The following is a DFT calculation (PBE-GGA) of a relaxed TbErPbAu crystal.

Geometry as CIF:
```
data_TbErPbAu
_chemical_formula_sum 'Tb4 Er4 Pb4 Au4'
_symmetry_space_group_name_H-M 'F -4 3 m'
_symmetry_Int_Tables_number 216
_symmetry_space_group_name_Hall 'F -4 2 3'
_cell_length_a 7.4235
_cell_length_b 7.4235
_cell_length_c 7.4235
_cell_angle_alpha 90.00
_cell_angle_beta 90.00
_cell_angle_gamma 90.00
loop_
_atom_site_label
_atom_site_type_symbol
_atom_site_fract_x
_atom_site_fract_y
_atom_site_fract_z
Tb1 Tb 0.0000 0.0000 0.0000
Er1 Er 0.0000 0.0000 0.5000
Pb1 Pb 0.2500 0.2500 0.2500
Au1 Au 0.2500 0.2500 0.7500
```

DFT formation energy = -2.39 eV per formula unit

---

The following is a DFT calculation (PBE-GGA) of a relaxed ErTmPbAu crystal.

Geometry as CIF:
```
data_ErTmPbAu
_chemical_formula_sum 'Er4 Tm4 Pb4 Au4'
_symmetry_space_group_name_H-M 'F -4 3 m'
_symmetry_Int_Tables_number 216
_symmetry_space_group_name_Hall 'F -4 2 3'
_cell_length_a 7.3666
_cell_length_b 7.3666
_cell_length_c 7.3666
_cell_angle_alpha 90.00
_cell_angle_beta 90.00
_cell_angle_gamma 90.00
loop_
_atom_site_label
_atom_site_type_symbol
_atom_site_fract_x
_atom_site_fract_y
_atom_site_fract_z
Er1 Er 0.0000 0.0000 0.0000
Tm1 Tm 0.0000 0.0000 0.5000
Pb1 Pb 0.2500 0.2500 0.7500
Au1 Au 0.2500 0.2500 0.2500
```

DFT formation energy = -2.32 eV per formula unit

---

The following is a DFT calculation (PBE-GGA) of a relaxed ErZnPbAu crystal.

Geometry as CIF:
```
data_ErZnPbAu
_chemical_formula_sum 'Er4 Zn4 Pb4 Au4'
_symmetry_space_group_name_H-M 'F -4 3 m'
_symmetry_Int_Tables_number 216
_symmetry_space_group_name_Hall 'F -4 2 3'
_cell_length_a 7.0930
_cell_length_b 7.0930
_cell_length_c 7.0930
_cell_angle_alpha 90.00
_cell_angle_beta 90.00
_cell_angle_gamma 90.00
loop_
_atom_site_label
_atom_site_type_symbol
_atom_site_fract_x
_atom_site_fract_y
_atom_site_fract_z
Er1 Er 0.0000 0.0000 0.0000
Zn1 Zn 0.2500 0.2500 0.2500
Pb1 Pb 0.0000 0.0000 0.5000
Au1 Au 0.2500 0.2500 0.7500
```

DFT formation energy = -1.44 eV per formula unit

---

The following is a DFT calculation (PBE-GGA) of a relaxed Er2PdAu crystal.

Geometry as CIF:
```
data_Er2PdAu
_chemical_formula_sum 'Er8 Pd4 Au4'
_symmetry_space_group_name_H-M 'F m m m'
_symmetry_Int_Tables_number 69
_symmetry_space_group_name_Hall '-F 2 2'
_cell_length_a 7.0198
_cell_length_b 7.0506
_cell_length_c 7.0763
_cell_angle_alpha 90.00
_cell_angle_beta 90.00
_cell_angle_gamma 90.00
loop_
_atom_site_label
_atom_site_type_symbol
_atom_site_fract_x
_atom_site_fract_y
_atom_site_fract_z
Er1 Er 0.2500 0.2500 0.2500
Pd1 Pd 0.0000 0.0000 0.0000
Au1 Au 0.0000 0.0000 0.5000
```

DFT formation energy = -3.59 eV per formula unit

---

The records above give, respectively, E values of -75.96, -98.17, -104.86, -90.69, -114.77, -93.15, -28.23, -110.84, -152.20, -56.09, -177.72, -94.11, -76.88, -110.00, -83.16, -96.50, -74.28, -73.36, -57.07, -84.73 eV/cell.
The records above give, respectively, DOS at the Fermi energy values of 10.48, 26.23, 25.68, 34.03, 24.09, 18.36, 4.23, 30.65, 38.35, 11.09, 25.82, 12.74, 8.23, 43.76, 8.47, 7.07, 14.95, 15.85, 4.69, 12.37 states/eV/cell.